# 1
CsCrGe2 | GGA-PBE | relaxed

Properties
total moment	0.409	μB/atom
formation energy	103	kJ/mol of formula units
energy	-37.3	eV/cell

a b c (Å): 6.2194 6.2194 8.3055
angles (deg): 68.01 68.01 90.00
Fractional positions:
Cs (0.0000, 0.0000, 0.0000)
Cs (0.7500, 0.2500, 0.5000)
Cr (0.5000, 0.5000, 0.0000)
Cr (0.2500, 0.7500, 0.5000)
Ge (0.3750, 0.1250, 0.2500)
Ge (0.3750, 0.6250, 0.2500)
Ge (0.3750, 0.6250, 0.7500)
Ge (0.8750, 0.6250, 0.7500)


# 2
CsCrGe2I8 | GGA-PBE | relaxed

Properties
formation energy (no corrections)	-0.468	eV per atom
total moment	0.247	μB/atom
energy	-37.7	eV/cell

a b c (Å): 8.0026 7.2643 10.3533
angles (deg): 77.21 70.13 71.46
Fractional positions:
Cs (0.0000, 0.0000, 0.5000)
Cr (0.0000, 0.0000, 0.0000)
Ge (0.4263, 0.4316, 0.7347)
Ge (0.5737, 0.5684, 0.2653)
I (0.1832, 0.7381, 0.1723)
I (0.7856, 0.7559, 0.0190)
I (0.7280, 0.1650, 0.2280)
I (0.8168, 0.2619, 0.8277)
I (0.2144, 0.2441, 0.9810)
I (0.2720, 0.8350, 0.7720)
I (0.7337, 0.5818, 0.4624)
I (0.2663, 0.4182, 0.5376)


# 3
CsCrGeSe4 | GGA-PBE | relaxed

Properties
formation energy (no corrections)	-0.533	eV per atom
total moment	0.428	μB/atom
energy	-65.5	eV/cell

a b c (Å): 6.6562 7.0717 10.8590
angles (deg): 90.00 124.13 90.00
Fractional positions:
Cs (0.6691, 0.7500, 0.9374)
Cs (0.3309, 0.2500, 0.0626)
Cr (0.8019, 0.7500, 0.4583)
Cr (0.1981, 0.2500, 0.5417)
Ge (0.2141, 0.7500, 0.3608)
Ge (0.7859, 0.2500, 0.6392)
Se (0.0729, 0.4916, 0.6690)
Se (0.9271, 0.9916, 0.3310)
Se (0.9271, 0.5084, 0.3310)
Se (0.0729, 0.0084, 0.6690)
Se (0.3639, 0.7500, 0.2073)
Se (0.6361, 0.2500, 0.7927)
Se (0.5875, 0.7500, 0.5895)
Se (0.4125, 0.2500, 0.4105)


# 4
Cs2CrGeSe4 | GGA-PBE | relaxed

Properties
formation energy (no corrections)	-0.747	eV per atom
total moment	0.250	μB/atom
energy	-71.7	eV/cell

a b c (Å): 6.9006 7.8059 13.0435
angles (deg): 83.29 74.66 63.77
Fractional positions:
Cs (0.1784, 0.0000, 0.6432)
Cs (0.8216, 0.0000, 0.3568)
Cs (0.5716, 0.5000, 0.8568)
Cs (0.9284, 0.5000, 0.1432)
Cr (0.7500, 0.5000, 0.5000)
Cr (0.0000, 0.0000, 0.0000)
Ge (0.2500, 0.5000, 0.5000)
Ge (0.5000, 0.0000, 0.0000)
Se (0.2685, 0.8245, 0.0988)
Se (0.1917, 0.1755, 0.9012)
Se (0.9070, 0.8245, 0.9012)
Se (0.6328, 0.1755, 0.0988)
Se (0.4815, 0.6755, 0.4012)
Se (0.5583, 0.3245, 0.5988)
Se (0.8430, 0.6755, 0.5988)
Se (0.1172, 0.3245, 0.4012)


# 5
Cs2CrH2 | GGA-PBE | relaxed

Properties
total moment	1.101	μB/atom
energy	-16.7	eV/cell

a b c (Å): 6.1201 6.1201 6.7018
angles (deg): 62.83 62.83 90.00
Fractional positions:
Cs (0.7500, 0.2500, 0.5000)
Cs (0.2500, 0.7500, 0.5000)
Cr (0.0000, 0.0000, 0.0000)
H (0.1732, 0.1732, 0.6535)
H (0.8268, 0.8268, 0.3465)


# 6
Cs2CrH5 | GGA-PBE | relaxed

Properties
total moment	0.375	μB/atom
energy	-28.4	eV/cell

a b c (Å): 6.5098 6.5099 6.2225
angles (deg): 121.55 121.55 89.99
Fractional positions:
Cs (0.2493, 0.7493, 0.4986)
Cs (0.7493, 0.2493, 0.4986)
Cr (0.9815, 0.9815, 0.9630)
H (0.8148, 0.1909, 0.0057)
H (0.1909, 0.1909, 0.0058)
H (0.8150, 0.8150, 0.0059)
H (0.1909, 0.8148, 0.0057)
H (0.7853, 0.7852, 0.5706)


# 7
CsCr2H8 | GGA-PBE | relaxed

Properties
total moment	0.099	μB/atom
energy	-47.0	eV/cell

a b c (Å): 6.3481 4.5044 4.5044
angles (deg): 123.16 89.99 89.99
Fractional positions:
Cs (0.0910, 0.0073, 0.0073)
Cr (0.5910, 0.6502, 0.2868)
Cr (0.5910, 0.2868, 0.6502)
H (0.3959, 0.9572, 0.4980)
H (0.3959, 0.4980, 0.9572)
H (0.7487, 0.4925, 0.4925)
H (0.7860, 0.4977, 0.9568)
H (0.7860, 0.9568, 0.4977)
H (0.4332, 0.4927, 0.4927)
H (0.5909, 0.1776, 0.9492)
H (0.5909, 0.9492, 0.1776)


# 8
Cs4CrH7 | GGA-PBE | relaxed

Properties
total moment	0.246	μB/atom
energy	-37.5	eV/cell

a b c (Å): 3.9882 8.6436 9.6980
angles (deg): 66.72 78.13 76.66
Fractional positions:
Cs (0.5460, 0.6389, 0.2691)
Cs (0.4540, 0.3611, 0.7309)
Cs (0.7059, 0.8780, 0.7102)
Cs (0.2941, 0.1220, 0.2898)
Cr (0.0000, 0.0000, 0.0000)
H (0.8952, 0.2072, 0.0024)
H (0.1048, 0.7928, 0.9976)
H (0.0545, 0.0862, 0.8048)
H (0.9455, 0.9138, 0.1952)
H (0.3582, 0.7412, 0.5424)
H (0.5000, 0.0000, 0.0000)
H (0.6418, 0.2588, 0.4576)